Ta2CrCo: relaxed, GGA-PBE.

Structure (extended XYZ):
```
4
Lattice="-7.9475 0.8623 -1.0624 -7.8878 -1.4816 0.7890 -7.7334 1.2929 1.8862" Properties=species:S:1:pos:R:3 pbc="T T T"
Ta -11.7738 0.3365 0.8056
Ta -0.0105 0.0003 0.0007
Cr -17.6765 0.5052 1.2096
Co -5.8922 0.1684 0.4032
```

* magnetization: 0.4 μB per cell
* crystal system: trigonal
* energy of formation from the pure elements: 24.7 kJ per mole of atoms

---

Ta2CrCo: relaxed, GGA-PBE.

Structure (extended XYZ):
```
4
Lattice="-0.1031 -3.2149 0.2483 1.5742 -0.3739 -4.1869 3.8467 -0.0115 1.4473" Properties=species:S:1:pos:R:3 pbc="T T T"
Ta 0.0000 0.0000 0.0000
Ta 0.7355 -1.7944 -1.9693
Cr 2.7105 -0.1927 -1.3698
Co 1.8718 -1.6132 0.8478
```

* magnetization: 1.7 μB per cell
* crystal system: orthorhombic
* energy of formation from the pure elements: 10.1 kJ per mole of atoms

---

TaCr2Co2: relaxed, GGA-PBE.

Structure (extended XYZ):
```
10
Lattice="6.9651 0.0000 0.0000 0.0000 6.9651 0.0000 0.0000 0.0000 2.5741" Properties=species:S:1:pos:R:3 pbc="T T T"
Cr 4.6663 5.7813 1.2870
Cr 2.2987 1.1838 1.2870
Cr 5.7813 2.2987 1.2870
Cr 1.1838 4.6663 1.2870
Co 2.6172 6.0998 0.0000
Co 4.3479 0.8653 0.0000
Co 0.8653 2.6172 0.0000
Co 6.0998 4.3479 0.0000
Ta 0.0000 0.0000 0.0000
Ta 3.4825 3.4825 0.0000
```

* magnetization: 0.0 μB per cell
* offset from the most stable computed form: 0 meV/atom
* crystal system: tetragonal
* energy of formation from the pure elements: 10.1 kJ per mole of atoms

---

TaCrCo: relaxed, GGA-PBE.

Structure (extended XYZ):
```
6
Lattice="-2.9028 1.0843 3.8095 -1.1797 -3.4003 3.2339 1.7690 0.0335 4.5035" Properties=species:S:1:pos:R:3 pbc="T T T"
Ta -2.3082 -0.3275 6.2470
Ta -0.0053 -1.9549 5.3000
Co -1.4514 0.5422 1.9048
Co 0.0000 0.0000 0.0000
Cr -0.5669 0.5589 4.1565
Cr -2.0413 -1.1580 3.5217
```

* magnetization: 0.1 μB per cell
* offset from the most stable computed form: 26 meV/atom
* crystal system: orthorhombic
* energy of formation from the pure elements: -15.6 kJ per mole of atoms

---

> Which formula does entry 3 have?

TaCr2Co2

---

Please write out number 3 again, unchanged.
TaCr2Co2: relaxed, GGA-PBE.

Structure (extended XYZ):
```
10
Lattice="6.9651 0.0000 0.0000 0.0000 6.9651 0.0000 0.0000 0.0000 2.5741" Properties=species:S:1:pos:R:3 pbc="T T T"
Cr 4.6663 5.7813 1.2870
Cr 2.2987 1.1838 1.2870
Cr 5.7813 2.2987 1.2870
Cr 1.1838 4.6663 1.2870
Co 2.6172 6.0998 0.0000
Co 4.3479 0.8653 0.0000
Co 0.8653 2.6172 0.0000
Co 6.0998 4.3479 0.0000
Ta 0.0000 0.0000 0.0000
Ta 3.4825 3.4825 0.0000
```

* magnetization: 0.0 μB per cell
* offset from the most stable computed form: 0 meV/atom
* crystal system: tetragonal
* energy of formation from the pure elements: 10.1 kJ per mole of atoms

---

> What is the formula in the third record?

TaCr2Co2